# CaScAg PBE-GGA optimized geometry
data_CaScAg
_chemical_formula_sum 'Ca1 Sc1 Ag1'
_cell_length_a 3.5783
_cell_length_b 3.5783
_cell_length_c 7.3723
_cell_angle_alpha 90.00
_cell_angle_beta 90.00
_cell_angle_gamma 120.00
_space_group_name_H-M_alt 'P 3 m 1'
_space_group_IT_number 156
_space_group_name_Hall 'P 3 -2"'
loop_
_atom_site_label
_atom_site_type_symbol
_atom_site_fract_x
_atom_site_fract_y
_atom_site_fract_z
Ca1 Ca 0.0000 0.0000 0.0000
Sc1 Sc 0.3333 0.6667 0.4041
Ag1 Ag 0.6667 0.3333 0.6741
# - E: -3.64 eV/atom
# - Size of the total moment: 0.00 μB per cell
# - Formation enthalpy at 0 K: 88 meV per atom
# - Energy above the most stable polymorph in this dataset: 195.9 meV per atom